Record 1
A plane-wave DFT calculation with PBE was carried out for a geometry-optimized TlNiHg2 structure.

```
TlNiHg2
1.0
5.1360 0.0000 0.0000
0.0000 5.1360 0.0000
0.0000 0.0000 3.3303
Hg Ni Tl
2 1 1
direct
0.0000 0.0000 0.0000
0.5000 0.5000 0.0000
0.5000 0.0000 0.5000
0.0000 0.5000 0.5000
```

Calculated values
Space group: P4/mmm, No. 123
Calculated volume, Å³ per cell: 87.85
Energy relative to the elements, eV/atom: 0.416
Distance to the lowest polymorph of the same formula, eV/atom: 0.274

***

Record 2
A plane-wave DFT calculation with PBE was carried out for a geometry-optimized Ti2SbOs structure.

```
Ti2SbOs
1.0
-2.8447 2.2772 6.3421
-0.1176 -6.8998 2.4247
1.1385 -1.9842 5.4410
Sb Os Ti
2 2 4
direct
0.5000 0.5000 0.0000
0.2500 0.7500 0.5000
0.0000 0.0000 0.0000
0.7500 0.2500 0.5000
0.6723 0.1250 0.2500
0.0777 0.6250 0.2500
0.3750 0.3277 0.7500
0.8750 0.9223 0.7500
```

Calculated values
Space group: I-42d, No. 122
Calculated volume, Å³ per cell: 152.15
Uncorrected formation energy, eV per atom: 0.06

***

Record 3
A plane-wave DFT calculation with PBE was carried out for a geometry-optimized CaZn2W structure.

```
CaZn2W
1.0
7.0121 0.0043 0.0123
-2.9160 4.0026 -0.0153
1.1801 0.8646 2.4763
Zn Ca W
2 1 1
direct
0.0000 0.0000 0.0000
0.5000 0.0000 0.5000
0.0000 0.5000 0.5000
0.5000 0.5000 0.0000
```

Calculated values
Space group: Cmmm, No. 65
Calculated volume, Å³ per cell: 69.54
Energy relative to the elements, eV/atom: 0.326
Distance to the lowest polymorph of the same formula, eV/atom: 0.065

***

Record 4
A plane-wave DFT calculation with PBE was carried out for a geometry-optimized FeSn structure.

```
FeSn
1.0
-5.1684 -5.5364 -2.2165
4.7607 3.3205 -5.3466
2.9131 -3.0096 0.7248
Fe Sn
6 6
direct
0.4406 0.8813 0.2500
0.5593 0.4406 0.7500
0.1187 0.5593 0.2500
0.5594 0.1187 0.7500
0.4407 0.5594 0.2500
0.8813 0.4407 0.7500
0.8069 0.6138 0.2500
0.1931 0.8069 0.7500
0.3862 0.1931 0.2500
0.1931 0.3862 0.7500
0.8069 0.1931 0.2500
0.6138 0.8069 0.7500
```

Calculated values
Space group: P6_3/mmc, No. 194
Calculated volume, Å³ per cell: 229.26
Energy relative to the elements, eV/atom: 0.133

***

Record 5
A plane-wave DFT calculation with PBE was carried out for a geometry-optimized PuHfAu2 structure.

```
PuHfAu2
1.0
-2.9654 0.8163 -1.3524
0.3289 -2.4945 -2.2267
-3.5160 -4.7735 4.8283
Hf Au Pu
1 2 1
direct
0.5000 0.5000 0.0000
0.0000 0.0000 0.7855
0.0000 0.0000 0.2145
0.5000 0.5000 0.5000
```

Calculated values
Space group: P4/mmm, No. 123
Calculated volume, Å³ per cell: 86.32
Energy relative to the elements, eV/atom: -0.419
Distance to the lowest polymorph of the same formula, eV/atom: 0.000

***

Record 6
A plane-wave DFT calculation with PBE was carried out for a geometry-optimized Pr5PuIr4 structure.

```
Pr5PuIr4
1.0
-3.1146 -1.3717 3.1624
4.3385 -5.5068 1.8843
1.4889 9.8057 2.3072
Pr Pu Ir
5 1 4
direct
0.8352 0.7284 0.6704
0.8322 0.2201 0.6643
0.1678 0.7799 0.3357
0.5000 0.5000 0.0000
0.1648 0.2716 0.3296
0.5000 0.0000 0.0000
0.3498 0.9901 0.6995
0.9935 0.7639 0.9870
0.6502 0.0099 0.3005
0.0065 0.2361 0.0130
```

Calculated values
Space group: C2/m, No. 12
Calculated volume, Å³ per cell: 267.46
Energy relative to the elements, eV/atom: -0.490